Run one
Compound: Fe2RuBr
Source: Alexandria via LeMat-Bulk
Functional: PBEsol
Structure: optimized geometry

Unit cell a=3.644 b=3.644 c=4.902 alpha=111.82 beta=111.82 gamma=90.00
Last column: magnetic moment on the atom in μB.
Sites, in units of the cell vectors:
Fe (0.750, 0.250, 0.500)  2.85
Fe (0.250, 0.750, 0.500)  2.85
Ru (0.500, 0.500, 0.000)  0.62
Br (0.000, 0.000, 0.000)  0.08

Values from the calculation:
total magnetic moment	6.5	μB per cell
space group	I4/mmm
density of states at the Fermi level	1.14	states/eV/atom



Run two
Compound: Fe2RuBr
Source: Alexandria via LeMat-Bulk
Functional: PBEsol
Structure: optimized geometry

Unit cell a=4.229 b=4.229 c=4.229 alpha=60.00 beta=60.00 gamma=60.00
Last column: magnetic moment on the atom in μB.
Sites, in units of the cell vectors:
Fe (0.750, 0.750, 0.750)  2.26
Fe (0.000, 0.000, 0.000)  2.56
Ru (0.250, 0.250, 0.250)  0.41
Br (0.500, 0.500, 0.500)  0.05

Values from the calculation:
total magnetic moment	5.2	μB per cell
space group	F-43m
density of states at the Fermi level	1.25	states/eV/atom



Energy comparison, zero being the most stable, in meV per atom: run one 35; run two 0.



Run one
Compound: FeSbBr2
Source: Alexandria via LeMat-Bulk
Functional: PBEsol
Structure: optimized geometry

Unit cell a=3.150 b=3.150 c=9.630 alpha=90.00 beta=90.00 gamma=90.00
Last column: magnetic moment on the atom in μB.
Sites, in units of the cell vectors:
Fe (0.500, 0.500, 0.000)  3.30
Br (0.000, 0.000, 0.165)  0.19
Br (0.000, 0.000, 0.835)  0.19
Sb (0.500, 0.500, 0.500)  -0.06

Values from the calculation:
total magnetic moment	3.6	μB per cell
space group	P4/mmm
density of states at the Fermi level	0.68	states/eV/atom



Run two
Compound: FeSbBr2
Source: Alexandria via LeMat-Bulk
Functional: PBEsol
Structure: optimized geometry

Unit cell a=3.394 b=5.497 c=5.492 alpha=106.83 beta=90.00 gamma=90.00
Last column: magnetic moment on the atom in μB.
Sites, in units of the cell vectors:
Sb (0.500, 0.325, 0.699)  -0.14
Br (0.500, 0.657, 0.369)  0.07
Br (0.000, 0.026, 0.005)  0.08
Fe (0.000, 0.993, 0.426)  2.70

Values from the calculation:
total magnetic moment	2.7	μB per cell
space group	Pm
density of states at the Fermi level	0.81	states/eV/atom



Energy comparison, zero being the most stable, in meV per atom: run one 249; run two 0.



Run one
Compound: FeSb2Br
Source: Alexandria via LeMat-Bulk
Functional: PBEsol
Structure: optimized geometry

Unit cell a=3.493 b=3.493 c=7.409 alpha=90.00 beta=90.00 gamma=90.00
Last column: magnetic moment on the atom in μB.
Sites, in units of the cell vectors:
Fe (0.500, 0.500, 0.811)  2.55
Sb (0.000, 0.000, 0.946)  -0.04
Sb (0.500, 0.500, 0.202)  -0.04
Br (0.000, 0.000, 0.541)  0.05

Values from the calculation:
total magnetic moment	2.5	μB per cell
space group	P4mm
density of states at the Fermi level	0.83	states/eV/atom



Run two
Compound: FeSb2Br
Source: Alexandria via LeMat-Bulk
Functional: PBEsol
Structure: optimized geometry

Unit cell a=3.205 b=4.963 c=6.428 alpha=112.71 beta=104.44 gamma=90.00
Last column: magnetic moment on the atom in μB.
Sites, in units of the cell vectors:
Sb (0.315, 0.315, 0.630)  -0.04
Sb (0.685, 0.685, 0.370)  -0.04
Fe (0.000, 0.500, 0.000)  2.60
Br (0.500, 0.000, 0.000)  0.10

Values from the calculation:
total magnetic moment	2.7	μB per cell
space group	Immm
density of states at the Fermi level	0.91	states/eV/atom



Run three
Compound: FeSb2Br
Source: Alexandria via LeMat-Bulk
Functional: PBEsol
Structure: optimized geometry

Unit cell a=3.195 b=4.743 c=7.149 alpha=109.37 beta=102.91 gamma=90.00
Last column: magnetic moment on the atom in μB.
Sites, in units of the cell vectors:
Fe (0.233, 0.733, 0.466)  2.60
Sb (0.907, 0.907, 0.813)  -0.01
Sb (0.773, 0.273, 0.545)  0.00
Br (0.588, 0.588, 0.176)  0.11

Values from the calculation:
total magnetic moment	2.7	μB per cell
space group	Imm2
density of states at the Fermi level	0.80	states/eV/atom



Energy comparison, zero being the most stable, in meV per atom: run one 118; run two 106; run three 0.



Run one
Compound: Sc2FeBr
Source: Alexandria via LeMat-Bulk
Functional: PBEsol
Structure: optimized geometry

Unit cell a=3.655 b=3.655 c=5.783 alpha=90.00 beta=90.00 gamma=90.00
Sites, in units of the cell vectors:
Sc (0.000, 0.000, 0.908)
Sc (0.500, 0.500, 0.271)
Fe (0.500, 0.500, 0.892)
Br (0.000, 0.000, 0.428)

Values from the calculation:
total magnetic moment	0.0	μB per cell
space group	P4mm
density of states at the Fermi level	0.81	states/eV/atom



Run two
Compound: Sc2FeBr
Source: Alexandria via LeMat-Bulk
Functional: PBEsol
Structure: optimized geometry

Unit cell a=4.649 b=4.649 c=4.649 alpha=60.00 beta=60.00 gamma=60.00
Last column: magnetic moment on the atom in μB.
Sites, in units of the cell vectors:
Sc (0.750, 0.750, 0.750)  -0.30
Sc (0.000, 0.000, 0.000)  -0.57
Fe (0.250, 0.250, 0.250)  1.97
Br (0.500, 0.500, 0.500)  0.05

Values from the calculation:
total magnetic moment	0.8	μB per cell
space group	F-43m
density of states at the Fermi level	0.75	states/eV/atom



Run three
Compound: Sc2FeBr
Source: Alexandria via LeMat-Bulk
Functional: PBEsol
Structure: optimized geometry

Unit cell a=4.391 b=4.826 c=4.391 alpha=62.94 beta=90.00 gamma=117.06
Last column: magnetic moment on the atom in μB.
Sites, in units of the cell vectors:
Sc (0.250, 0.500, 0.250)  -0.40
Sc (0.750, 0.500, 0.750)  -0.40
Br (0.500, 0.000, 0.500)  0.02
Fe (0.000, 0.000, 0.000)  1.82

Values from the calculation:
total magnetic moment	0.7	μB per cell
space group	I4/mmm
density of states at the Fermi level	1.06	states/eV/atom



Energy comparison, zero being the most stable, in meV per atom: run one 0; run two 629; run three 205.



Run one
Compound: ScFe2Br
Source: Alexandria via LeMat-Bulk
Functional: PBEsol
Structure: optimized geometry

Unit cell a=4.445 b=4.445 c=4.445 alpha=60.00 beta=60.00 gamma=60.00
Last column: magnetic moment on the atom in μB.
Sites, in units of the cell vectors:
Sc (0.250, 0.250, 0.250)  -0.15
Fe (0.750, 0.750, 0.750)  2.54
Fe (0.000, 0.000, 0.000)  2.40
Br (0.500, 0.500, 0.500)  0.09

Values from the calculation:
total magnetic moment	4.8	μB per cell
space group	F-43m
density of states at the Fermi level	1.24	states/eV/atom



Run two
Compound: ScFe2Br
Source: Alexandria via LeMat-Bulk
Functional: PBEsol
Structure: optimized geometry

Unit cell a=3.625 b=3.625 c=4.671 alpha=90.00 beta=90.00 gamma=90.00
Last column: magnetic moment on the atom in μB.
Sites, in units of the cell vectors:
Sc (0.500, 0.500, 0.500)  -0.38
Br (0.000, 0.000, 0.500)  0.04
Fe (0.000, 0.500, 0.000)  2.42
Fe (0.500, 0.000, 0.000)  2.42

Values from the calculation:
total magnetic moment	4.3	μB per cell
space group	P4/mmm
density of states at the Fermi level	0.72	states/eV/atom



Energy comparison, zero being the most stable, in meV per atom: run one 183; run two 0.



Run one
Compound: FeSiBr2
Source: Alexandria via LeMat-Bulk
Functional: PBEsol
Structure: optimized geometry

Unit cell a=3.220 b=3.450 c=8.882 alpha=90.00 beta=90.00 gamma=117.82
Last column: magnetic moment on the atom in μB.
Sites, in units of the cell vectors:
Br (0.500, 0.000, 0.322)  0.18
Br (0.000, 0.000, 0.939)  0.03
Si (0.500, 0.000, 0.717)  0.03
Fe (0.000, 0.000, 0.522)  2.87

Values from the calculation:
total magnetic moment	3.3	μB per cell
space group	Cmm2
density of states at the Fermi level	0.57	states/eV/atom



Run two
Compound: FeSiBr2
Source: Alexandria via LeMat-Bulk
Functional: PBEsol
Structure: optimized geometry

Unit cell a=3.374 b=4.245 c=7.258 alpha=107.13 beta=90.00 gamma=113.42
Last column: magnetic moment on the atom in μB.
Sites, in units of the cell vectors:
Br (0.137, 0.274, 0.655)  0.05
Br (0.970, 0.939, 0.095)  0.05
Si (0.843, 0.685, 0.375)  -0.08
Fe (0.551, 0.101, 0.375)  1.79

Values from the calculation:
total magnetic moment	1.8	μB per cell
space group	Cm
density of states at the Fermi level	0.56	states/eV/atom



Energy comparison, zero being the most stable, in meV per atom: run one 215; run two 0.



Run one
Compound: Fe3SiBr
Source: Alexandria via LeMat-Bulk
Functional: PBEsol
Structure: optimized geometry

Unit cell a=4.278 b=4.278 c=4.278 alpha=90.00 beta=90.00 gamma=90.00
Last column: magnetic moment on the atom in μB.
Sites, in units of the cell vectors:
Br (0.000, 0.000, 0.000)  -0.04
Fe (0.000, 0.000, 0.500)  1.96
Fe (0.000, 0.500, 0.000)  1.96
Fe (0.500, 0.000, 0.000)  1.96
Si (0.500, 0.500, 0.500)  -0.03

Values from the calculation:
total magnetic moment	5.6	μB per cell
space group	Pm-3m
density of states at the Fermi level	1.11	states/eV/atom



Run two
Compound: Fe3SiBr
Source: Alexandria via LeMat-Bulk
Functional: PBEsol
Structure: optimized geometry

Unit cell a=4.301 b=4.301 c=4.301 alpha=90.00 beta=90.00 gamma=90.00
Last column: magnetic moment on the atom in μB.
Sites, in units of the cell vectors:
Si (0.000, 0.000, 0.000)  -0.14
Fe (0.000, 0.000, 0.500)  2.13
Fe (0.500, 0.000, 0.000)  2.13
Fe (0.000, 0.500, 0.000)  2.13
Br (0.500, 0.500, 0.500)  0.13

Values from the calculation:
total magnetic moment	6.2	μB per cell
space group	Pm-3m
density of states at the Fermi level	0.84	states/eV/atom



Energy comparison, zero being the most stable, in meV per atom: run one 398; run two 0.